Record 1
## SiBW3 (PBE-GGA)

Data for a geometry-optimized SiBW3 structure.

a b c (Å): 4.171 4.171 4.171
angles (deg): 90.00 90.00 90.00
Fractional coordinates of all 5 atoms:
Si 0.000 0.000 0.000
B 0.500 0.500 0.500
W 0.000 0.500 0.500
W 0.500 0.000 0.500
W 0.500 0.500 0.000

Calculated values
Energy relative to the elements, uncorrected: 446 meV/atom
Symmetry: Pm-3m (221)
Uncorrected energy: -9.75 eV/atom
Total moment: 0.0000 μB/atom
ΔE to the lowest computed polymorph: 0.0 kJ per mole of atoms


Record 2
## SiB6W12 (PBE-GGA)

Data for a geometry-optimized SiB6W12 structure.

a b c (Å): 6.767 6.767 6.767
angles (deg): 109.47 109.47 109.47
Fractional coordinates of all 19 atoms:
Si 0.000 0.000 0.000
B 0.111 0.611 0.500
B 0.389 0.500 0.889
B 0.500 0.111 0.611
B 0.500 0.889 0.389
B 0.611 0.500 0.111
B 0.889 0.389 0.500
W 0.107 0.812 0.295
W 0.188 0.295 0.483
W 0.188 0.705 0.893
W 0.295 0.107 0.812
W 0.295 0.483 0.188
W 0.483 0.188 0.295
W 0.517 0.812 0.705
W 0.705 0.517 0.812
W 0.705 0.893 0.188
W 0.812 0.295 0.107
W 0.812 0.705 0.517
W 0.893 0.188 0.705

Calculated values
Energy relative to the elements, uncorrected: -183 meV/atom
Symmetry: Im-3 (204)
Uncorrected energy: -10.76 eV/atom
Total moment: 0.0000 μB/atom


Record 3
## YSiB (PBE-GGA)

Data for a geometry-optimized YSiB structure.

a b c (Å): 3.561 3.561 4.132
angles (deg): 90.00 90.00 120.00
Fractional coordinates of all 3 atoms:
Y 0.000 0.000 0.000
Si 0.667 0.333 0.500
B 0.333 0.667 0.500

Calculated values
Energy relative to the elements, uncorrected: -663 meV/atom
Symmetry: P-6m2 (187)
Uncorrected energy: -6.85 eV/atom
Total moment: 0.0000 μB/atom
ΔE to the lowest computed polymorph: 0.0 kJ per mole of atoms